1.
A relaxed structure of Na8B11C5. Source: Alexandria via LeMat-Bulk, functional PBE.

```
Na8B11C5
1.0
4.989 0.007 0.000
0.009 5.829 0.000
0.000 0.000 8.567
B C Na
11 5 8
Cartesian
0.820 4.376 2.142 B
4.173 1.408 6.425 B
4.176 1.455 2.142 B
3.403 2.935 6.425 B
0.916 4.365 6.425 B
1.534 2.823 6.425 B
0.904 1.466 2.142 B
1.683 0.055 6.425 B
3.290 2.996 2.142 B
4.041 4.462 6.425 B
3.290 5.772 2.142 B
3.369 0.046 6.425 C
0.872 1.420 6.425 C
1.672 2.939 2.142 C
4.155 4.372 2.142 C
1.672 5.798 2.142 C
0.009 2.917 4.255 Na
2.510 4.376 4.279 Na
2.490 1.461 0.018 Na
0.000 0.001 0.019 Na
0.000 0.001 4.264 Na
0.009 2.917 0.028 Na
2.510 4.376 0.005 Na
2.490 1.461 4.265 Na
```

Summary:
- DFT formation energy: 145.0 meV/atom
- SG: No. 6
- Spin magnetization: 0.0 μB per cell


2.
A relaxed structure of Co2TcSe. Source: Alexandria via LeMat-Bulk, functional PBE.

```
Co2TcSe
1.0
3.816 0.000 0.000
0.000 2.800 -0.017
0.000 1.339 4.869
Se Tc Co
1 1 2
Cartesian
1.908 1.035 1.213 Se
1.908 3.104 3.639 Tc
0.000 1.705 4.850 Co
0.000 1.703 2.445 Co
```

Summary:
- SG: No. 10
- Spin magnetization: 0.5 μB per cell
- ΔE_f (raw): 0.292 eV/atom


3.
A relaxed structure of La3Ni2Ge. Source: Alexandria via LeMat-Bulk, functional PBE.

```
La3Ni2Ge
1.0
-5.229 1.361 2.740
-1.495 -11.127 2.673
6.493 0.588 6.081
La Ni Ge
12 8 4
Cartesian
3.701 -9.091 9.145 La
-3.932 -0.087 2.349 La
-1.708 -5.335 6.664 La
-4.445 -7.294 5.440 La
-1.668 -5.644 2.891 La
1.476 -3.844 4.829 La
-1.703 -1.908 4.481 La
1.437 -3.534 8.603 La
4.214 -1.884 6.054 La
1.408 -0.019 3.114 La
-1.639 -9.160 8.380 La
1.471 -7.270 7.012 La
-2.988 -10.045 6.106 Ni
3.607 -4.974 6.466 Ni
0.466 -6.493 4.534 Ni
-3.838 -4.205 5.027 Ni
-0.965 -0.949 1.898 Ni
-0.697 -2.685 6.960 Ni
2.757 0.866 5.387 Ni
0.734 -8.230 9.595 Ni
-0.455 -6.035 9.437 Ge
-1.241 -8.153 5.301 Ge
0.224 -3.144 2.057 Ge
1.010 -1.026 6.193 Ge
```

Summary:
- DFT formation energy: -477.5 meV/atom
- SG: No. 14
- Spin magnetization: 0.0 μB per cell